No. 1
Computed, not measured: Tl2NiH12Se2O14 after structural relaxation at the GGA-PBEsol level of DFT.

Values from the calculation:
Energy = -5.193 eV per atom
Size of the total moment = 4.1 Bohr magnetons per cell

abc: 6.294 12.310 9.098
angles: 90.00 104.52 90.00
Space group P2_1/c (No. 14)
Inequivalent atoms, fractional coordinates:
Tl (0.166, 0.160, 0.359)
Ni (0.500, 0.000, 0.000)
H (0.164, 0.552, 0.599)
H (0.174, 0.639, 0.472)
H (0.186, 0.086, 0.796)
H (0.412, 0.125, 0.757)
H (0.423, 0.593, 0.231)
H (0.498, 0.686, 0.357)
Se (0.227, 0.634, 0.908)
O (0.068, 0.741, 0.920)
O (0.091, 0.557, 0.763)
O (0.207, 0.561, 0.501)
O (0.271, 0.560, 0.064)
O (0.339, 0.111, 0.841)
O (0.464, 0.678, 0.876)
O (0.471, 0.109, 0.169)

***

No. 2
Computed, not measured: K2CoIr after structural relaxation at the GGA-PBEsol level of DFT.

Values from the calculation:
Excess energy over the best structure of this formula in the dataset = 766 meV/atom
Size of the total moment = 2.0 Bohr magnetons per cell

abc: 6.059 6.059 2.560
angles: 90.00 90.00 90.00
Space group P4/mmm (No. 123)
Inequivalent atoms, fractional coordinates:
K (0.000, 0.500, 0.000)
Co (0.000, 0.000, 0.500)
Ir (0.500, 0.500, 0.500)

***

No. 3
Computed, not measured: YAl2Co after structural relaxation at the GGA-PBEsol level of DFT.

Values from the calculation:
Energy = -6.235 eV per atom
Size of the total moment = 0.0 Bohr magnetons per cell

abc: 4.000 9.836 6.977
angles: 90.00 90.00 90.00
Space group Cmcm (No. 63)
Inequivalent atoms, fractional coordinates:
Y (0.000, 0.060, 0.250)
Al (0.000, 0.340, 0.056)
Co (0.000, 0.216, 0.750)

***

No. 4
Computed, not measured: CdSbN2F after structural relaxation at the GGA-PBEsol level of DFT.

Values from the calculation:
Excess energy over the best structure of this formula in the dataset = 0 meV/atom
Size of the total moment = 0.0 Bohr magnetons per cell

abc: 4.069 4.069 4.087
angles: 90.00 90.00 90.00
Space group P4/mmm (No. 123)
Inequivalent atoms, fractional coordinates:
Cd (0.000, 0.000, 0.000)
Sb (0.500, 0.500, 0.500)
N (0.000, 0.500, 0.500)
F (0.500, 0.500, 0.000)

***

No. 5
Computed, not measured: KSiI2N after structural relaxation at the GGA-PBEsol level of DFT.

Values from the calculation:
Excess energy over the best structure of this formula in the dataset = 1641 meV/atom
Size of the total moment = 3.4 Bohr magnetons per cell

abc: 6.220 6.220 4.799
angles: 90.00 90.00 90.00
Space group P4/mmm (No. 123)
Inequivalent atoms, fractional coordinates:
K (0.000, 0.000, 0.000)
Si (0.500, 0.500, 0.500)
I (0.000, 0.500, 0.000)
N (0.000, 0.000, 0.500)

***

No. 6
Computed, not measured: Cr4ReRu after structural relaxation at the GGA-PBEsol level of DFT.

Values from the calculation:
Energy = -10.723 eV per atom
Size of the total moment = 0.0 Bohr magnetons per cell

abc: 6.612 6.612 6.612
angles: 90.00 90.00 90.00
Space group F-43m (No. 216)
Inequivalent atoms, fractional coordinates:
Cr (0.124, 0.124, 0.376)
Re (0.250, 0.250, 0.750)
Ru (0.000, 0.000, 0.000)

***

No. 7
Computed, not measured: TiCrTc2 after structural relaxation at the GGA-PBEsol level of DFT.

Values from the calculation:
Energy = -10.517 eV per atom
Size of the total moment = 0.0 Bohr magnetons per cell

abc: 5.993 5.993 5.993
angles: 90.00 90.00 90.00
Space group Fm-3m (No. 225)
Inequivalent atoms, fractional coordinates:
Ti (0.000, 0.000, 0.000)
Cr (0.000, 0.000, 0.500)
Tc (0.250, 0.250, 0.250)

***

No. 8
Computed, not measured: Ho12Si5S28 after structural relaxation at the GGA-PBEsol level of DFT.

Values from the calculation:
Energy = -6.340 eV per atom
Size of the total moment = 0.0 Bohr magnetons per cell

abc: 9.599 11.122 11.136
angles: 60.86 64.48 64.46
Space group P1 (No. 1)
Inequivalent atoms, fractional coordinates:
Ho (0.000, 0.000, 0.000)
Ho (0.001, 0.470, 0.512)
Ho (0.130, 0.337, 0.883)
Ho (0.143, 0.858, 0.353)
Ho (0.412, 0.727, 0.764)
Ho (0.433, 0.235, 0.241)
Ho (0.547, 0.113, 0.603)
Ho (0.558, 0.576, 0.126)
Ho (0.646, 0.293, 0.839)
Ho (0.648, 0.810, 0.302)
Ho (0.908, 0.280, 0.288)
Ho (0.920, 0.767, 0.803)
Si (0.112, 0.037, 0.642)
Si (0.112, 0.538, 0.146)
Si (0.444, 0.463, 0.562)
Si (0.445, 0.955, 0.053)
Si (0.777, 0.818, 0.530)
S (0.007, 0.658, 0.598)
S (0.043, 0.124, 0.125)
S (0.105, 0.731, 0.965)
S (0.118, 0.217, 0.450)
S (0.200, 0.347, 0.104)
S (0.202, 0.843, 0.602)
S (0.253, 0.506, 0.269)
S (0.261, 0.008, 0.758)
S (0.288, 0.349, 0.600)
S (0.307, 0.830, 0.082)
S (0.354, 0.499, 0.757)
S (0.363, 0.999, 0.244)
S (0.443, 0.647, 0.374)
S (0.447, 0.143, 0.869)
S (0.522, 0.478, 0.971)
S (0.539, 0.972, 0.464)
S (0.612, 0.305, 0.311)
S (0.640, 0.821, 0.756)
S (0.675, 0.801, 0.053)
S (0.680, 0.318, 0.567)
S (0.683, 0.091, 0.091)
S (0.686, 0.635, 0.575)
S (0.868, 0.003, 0.497)
S (0.876, 0.507, 0.000)
S (0.877, 0.536, 0.294)
S (0.879, 0.033, 0.789)
S (0.930, 0.807, 0.301)
S (0.938, 0.299, 0.792)